Model 1:
! PBE-GGA ScTaCl2, relaxed; values from VASP
! * total magnetization: 0.00 μB/f.u.
! * SG: P4/mmm
&SYSTEM
  ibrav = 0, nat = 4, ntyp = 3
/
ATOMIC_SPECIES
Sc 44.96 Sc.upf
Ta 180.95 Ta.upf
Cl 35.45 Cl.upf
CELL_PARAMETERS angstrom
4.665 0.000 0.000
0.000 4.665 0.000
0.000 0.000 3.112
ATOMIC_POSITIONS angstrom
Sc 0.000 0.000 0.000
Ta 2.332 2.332 0.000
Cl 0.000 2.332 1.556
Cl 2.332 0.000 1.556

Model 2:
! PBE-GGA ScTaCl2, relaxed; values from VASP
! * total magnetization: 0.00 μB/f.u.
! * SG: P4mm
&SYSTEM
  ibrav = 0, nat = 4, ntyp = 3
/
ATOMIC_SPECIES
Sc 44.96 Sc.upf
Ta 180.95 Ta.upf
Cl 35.45 Cl.upf
CELL_PARAMETERS angstrom
3.084 0.000 0.000
0.000 3.084 0.000
0.000 0.000 9.135
ATOMIC_POSITIONS angstrom
Sc 0.000 0.000 0.000
Ta 1.542 1.542 2.278
Cl 0.000 0.000 3.862
Cl 1.542 1.542 7.529

Model 3:
! PBE-GGA ScTaCl2, relaxed; values from VASP
! * total magnetization: 0.00 μB/f.u.
! * SG: P2/m
&SYSTEM
  ibrav = 0, nat = 4, ntyp = 3
/
ATOMIC_SPECIES
Sc 44.96 Sc.upf
Ta 180.95 Ta.upf
Cl 35.45 Cl.upf
CELL_PARAMETERS angstrom
3.182 0.000 0.000
0.000 4.291 0.000
-0.846 0.000 5.566
ATOMIC_POSITIONS angstrom
Sc 0.000 0.000 0.000
Ta 1.168 0.000 2.783
Cl 0.858 2.146 1.412
Cl 1.478 2.146 4.153

Which structure is most stable? model 2, by 415 meV/atom over the runner-up.

Model 1:
! PBE-GGA ScTaCl2, relaxed; values from VASP
! * total magnetization: 0.00 μB/f.u.
! * SG: I-4m2
&SYSTEM
  ibrav = 0, nat = 8, ntyp = 3
/
ATOMIC_SPECIES
Sc 44.96 Sc.upf
Ta 180.95 Ta.upf
Cl 35.45 Cl.upf
CELL_PARAMETERS angstrom
3.601 0.000 0.000
0.000 3.601 0.000
0.000 0.000 11.541
ATOMIC_POSITIONS angstrom
Sc 0.000 0.000 0.000
Sc 1.801 1.801 5.771
Ta 0.000 1.801 8.656
Ta 1.801 0.000 2.885
Cl 0.000 0.000 5.771
Cl 0.000 1.801 2.885
Cl 1.801 0.000 8.656
Cl 1.801 1.801 0.000

Model 2:
! PBE-GGA ScTaCl2, relaxed; values from VASP
! * total magnetization: 0.77 μB/f.u.
! * SG: R-3m
&SYSTEM
  ibrav = 0, nat = 12, ntyp = 3
/
ATOMIC_SPECIES
Sc 44.96 Sc.upf
Ta 180.95 Ta.upf
Cl 35.45 Cl.upf
CELL_PARAMETERS angstrom
3.149 0.000 0.000
-1.575 2.727 0.000
0.000 0.000 31.615
ATOMIC_POSITIONS angstrom
Sc 0.000 0.000 0.000
Sc 0.000 1.818 21.076
Sc 1.575 0.909 10.538
Ta 0.000 0.000 15.807
Ta 0.000 1.818 5.269
Ta 1.575 0.909 26.345
Cl 0.000 0.000 8.798
Cl 0.000 0.000 22.817
Cl 0.000 1.818 12.278
Cl 0.000 1.818 29.874
Cl 1.575 0.909 1.740
Cl 1.575 0.909 19.336

Model 3:
! PBE-GGA ScTaCl2, relaxed; values from VASP
! * total magnetization: 1.38 μB/f.u.
! * SG: Fm-3m
&SYSTEM
  ibrav = 0, nat = 16, ntyp = 3
/
ATOMIC_SPECIES
Sc 44.96 Sc.upf
Ta 180.95 Ta.upf
Cl 35.45 Cl.upf
CELL_PARAMETERS angstrom
6.491 0.000 0.000
0.000 6.491 0.000
0.000 0.000 6.491
ATOMIC_POSITIONS angstrom
Sc 0.000 0.000 0.000
Sc 0.000 3.245 3.245
Sc 3.245 0.000 3.245
Sc 3.245 3.245 0.000
Ta 0.000 0.000 3.245
Ta 0.000 3.245 0.000
Ta 3.245 0.000 0.000
Ta 3.245 3.245 3.245
Cl 1.623 1.623 1.623
Cl 1.623 1.623 4.868
Cl 1.623 4.868 1.623
Cl 1.623 4.868 4.868
Cl 4.868 1.623 1.623
Cl 4.868 1.623 4.868
Cl 4.868 4.868 1.623
Cl 4.868 4.868 4.868

Model 4:
! PBE-GGA ScTaCl2, relaxed; values from VASP
! * total magnetization: 0.00 μB/f.u.
! * SG: I-42d
&SYSTEM
  ibrav = 0, nat = 16, ntyp = 3
/
ATOMIC_SPECIES
Sc 44.96 Sc.upf
Ta 180.95 Ta.upf
Cl 35.45 Cl.upf
CELL_PARAMETERS angstrom
4.368 0.000 0.000
0.000 4.368 0.000
0.000 0.000 16.697
ATOMIC_POSITIONS angstrom
Sc 0.000 0.000 0.000
Sc 0.000 2.184 4.174
Sc 2.184 0.000 12.523
Sc 2.184 2.184 8.349
Ta 0.000 0.000 8.349
Ta 0.000 2.184 12.523
Ta 2.184 0.000 4.174
Ta 2.184 2.184 0.000
Cl 1.029 1.092 10.436
Cl 1.092 3.213 14.610
Cl 1.092 3.339 6.261
Cl 1.155 1.092 2.087
Cl 3.213 3.276 2.087
Cl 3.276 1.029 6.261
Cl 3.276 1.155 14.610
Cl 3.339 3.276 10.436

Which structure is most stable? model 2, by 115 meV/atom over the runner-up.

Model 1:
! PBE-GGA ScTaCl2, relaxed; values from VASP
! * total magnetization: 0.00 μB/f.u.
! * SG: Imm2
&SYSTEM
  ibrav = 0, nat = 8, ntyp = 3
/
ATOMIC_SPECIES
Sc 44.96 Sc.upf
Ta 180.95 Ta.upf
Cl 35.45 Cl.upf
CELL_PARAMETERS angstrom
3.083 0.000 0.000
0.000 4.662 0.000
0.000 0.000 10.325
ATOMIC_POSITIONS angstrom
Sc 0.000 0.000 0.000
Sc 1.541 2.331 5.163
Ta 0.000 2.331 7.971
Ta 1.541 0.000 2.809
Cl 0.000 0.000 4.972
Cl 0.000 2.331 2.945
Cl 1.541 0.000 8.107
Cl 1.541 2.331 10.135

Model 2:
! PBE-GGA ScTaCl2, relaxed; values from VASP
! * total magnetization: 0.01 μB/f.u.
! * SG: Cmmm
&SYSTEM
  ibrav = 0, nat = 8, ntyp = 3
/
ATOMIC_SPECIES
Sc 44.96 Sc.upf
Ta 180.95 Ta.upf
Cl 35.45 Cl.upf
CELL_PARAMETERS angstrom
2.992 0.000 0.000
0.000 5.819 0.000
0.000 0.000 8.765
ATOMIC_POSITIONS angstrom
Sc 0.000 0.000 0.000
Sc 1.496 2.910 0.000
Ta 0.000 0.000 4.383
Ta 1.496 2.910 4.383
Cl 0.000 2.910 2.265
Cl 0.000 2.910 6.500
Cl 1.496 0.000 2.265
Cl 1.496 0.000 6.500

Model 3:
! PBE-GGA ScTaCl2, relaxed; values from VASP
! * total magnetization: 0.00 μB/f.u.
! * SG: Pmmm
&SYSTEM
  ibrav = 0, nat = 4, ntyp = 3
/
ATOMIC_SPECIES
Sc 44.96 Sc.upf
Ta 180.95 Ta.upf
Cl 35.45 Cl.upf
CELL_PARAMETERS angstrom
3.000 0.000 0.000
0.000 3.834 0.000
0.000 0.000 6.084
ATOMIC_POSITIONS angstrom
Sc 0.000 0.000 0.000
Ta 0.000 0.000 3.042
Cl 1.500 1.917 1.525
Cl 1.500 1.917 4.559

Which structure is most stable? model 2, by 79 meV/atom over the runner-up.

Model 1:
! PBE-GGA Sc3TaCl, relaxed; values from VASP
! * total magnetization: 0.80 μB/f.u.
! * SG: Pm-3m
&SYSTEM
  ibrav = 0, nat = 5, ntyp = 3
/
ATOMIC_SPECIES
Sc 44.96 Sc.upf
Ta 180.95 Ta.upf
Cl 35.45 Cl.upf
CELL_PARAMETERS angstrom
4.750 0.000 0.000
0.000 4.750 0.000
0.000 0.000 4.750
ATOMIC_POSITIONS angstrom
Sc 0.000 0.000 2.375
Sc 0.000 2.375 0.000
Sc 2.375 0.000 0.000
Ta 2.375 2.375 2.375
Cl 0.000 0.000 0.000

Model 2:
! PBE-GGA Sc3TaCl, relaxed; values from VASP
! * total magnetization: 0.00 μB/f.u.
! * SG: Pm-3m
&SYSTEM
  ibrav = 0, nat = 5, ntyp = 3
/
ATOMIC_SPECIES
Sc 44.96 Sc.upf
Ta 180.95 Ta.upf
Cl 35.45 Cl.upf
CELL_PARAMETERS angstrom
5.242 0.000 0.000
0.000 5.242 0.000
0.000 0.000 5.242
ATOMIC_POSITIONS angstrom
Sc 0.000 0.000 2.621
Sc 0.000 2.621 0.000
Sc 2.621 0.000 0.000
Ta 0.000 0.000 0.000
Cl 2.621 2.621 2.621

Which structure is most stable? model 1, by 645 meV/atom over the runner-up.

Model 1:
! PBE-GGA ScTaCl3, relaxed; values from VASP
! * total magnetization: 4.80 μB/f.u.
! * SG: Pm-3m
&SYSTEM
  ibrav = 0, nat = 5, ntyp = 3
/
ATOMIC_SPECIES
Sc 44.96 Sc.upf
Ta 180.95 Ta.upf
Cl 35.45 Cl.upf
CELL_PARAMETERS angstrom
5.026 0.000 0.000
0.000 5.026 0.000
0.000 0.000 5.026
ATOMIC_POSITIONS angstrom
Sc 0.000 0.000 0.000
Ta 2.513 2.513 2.513
Cl 0.000 0.000 2.513
Cl 0.000 2.513 0.000
Cl 2.513 0.000 0.000

Model 2:
! PBE-GGA ScTaCl3, relaxed; values from VASP
! * total magnetization: 1.89 μB/f.u.
! * SG: Pm-3m
&SYSTEM
  ibrav = 0, nat = 5, ntyp = 3
/
ATOMIC_SPECIES
Sc 44.96 Sc.upf
Ta 180.95 Ta.upf
Cl 35.45 Cl.upf
CELL_PARAMETERS angstrom
4.879 0.000 0.000
0.000 4.879 0.000
0.000 0.000 4.879
ATOMIC_POSITIONS angstrom
Sc 0.000 0.000 0.000
Ta 2.439 2.439 2.439
Cl 0.000 2.439 2.439
Cl 2.439 0.000 2.439
Cl 2.439 2.439 0.000

Which structure is most stable? model 1, by 17 meV/atom over the runner-up.

Model 1:
! PBE-GGA Sc2TcCl, relaxed; values from VASP
! * total magnetization: 0.00 μB/f.u.
! * SG: P4mm
&SYSTEM
  ibrav = 0, nat = 4, ntyp = 3
/
ATOMIC_SPECIES
Sc 44.96 Sc.upf
Tc 98.00 Tc.upf
Cl 35.45 Cl.upf
CELL_PARAMETERS angstrom
3.821 0.000 0.000
0.000 3.821 0.000
0.000 0.000 5.445
ATOMIC_POSITIONS angstrom
Sc 0.000 0.000 0.000
Sc 1.911 1.911 2.197
Tc 0.000 0.000 2.369
Cl 1.911 1.911 4.960

Model 2:
! PBE-GGA Sc2TcCl, relaxed; values from VASP
! * total magnetization: 1.82 μB/f.u.
! * SG: P4mm
&SYSTEM
  ibrav = 0, nat = 4, ntyp = 3
/
ATOMIC_SPECIES
Sc 44.96 Sc.upf
Tc 98.00 Tc.upf
Cl 35.45 Cl.upf
CELL_PARAMETERS angstrom
3.075 0.000 0.000
0.000 3.075 0.000
0.000 0.000 9.670
ATOMIC_POSITIONS angstrom
Sc 0.000 0.000 0.000
Sc 1.538 1.538 2.749
Tc 0.000 0.000 4.499
Cl 1.538 1.538 8.159

Model 3:
! PBE-GGA Sc2TcCl, relaxed; values from VASP
! * total magnetization: 0.00 μB/f.u.
! * SG: Cmm2
&SYSTEM
  ibrav = 0, nat = 8, ntyp = 3
/
ATOMIC_SPECIES
Sc 44.96 Sc.upf
Tc 98.00 Tc.upf
Cl 35.45 Cl.upf
CELL_PARAMETERS angstrom
3.443 0.000 0.000
0.000 5.121 0.000
0.000 0.000 9.872
ATOMIC_POSITIONS angstrom
Sc 0.000 0.000 0.000
Sc 0.000 2.560 2.699
Sc 1.722 0.000 2.699
Sc 1.722 2.560 0.000
Tc 0.000 0.000 4.595
Tc 1.722 2.560 4.595
Cl 0.000 2.560 8.079
Cl 1.722 0.000 8.079

Model 4:
! PBE-GGA Sc2TcCl, relaxed; values from VASP
! * total magnetization: 0.00 μB/f.u.
! * SG: C2/m
&SYSTEM
  ibrav = 0, nat = 8, ntyp = 3
/
ATOMIC_SPECIES
Sc 44.96 Sc.upf
Tc 98.00 Tc.upf
Cl 35.45 Cl.upf
CELL_PARAMETERS angstrom
7.272 0.000 0.000
0.000 7.038 0.000
-0.929 0.000 2.943
ATOMIC_POSITIONS angstrom
Sc 1.818 1.760 0.000
Sc 1.818 5.279 0.000
Sc 5.454 1.760 0.000
Sc 5.454 5.279 0.000
Tc -0.465 0.000 1.472
Tc 3.171 3.519 1.472
Cl -0.465 3.519 1.472
Cl 3.171 0.000 1.472

Which structure is most stable? model 4, by 30 meV/atom over the runner-up.

Model 1:
! PBE-GGA Sc2TcCl, relaxed; values from VASP
! * total magnetization: 0.00 μB/f.u.
! * SG: I-42d
&SYSTEM
  ibrav = 0, nat = 16, ntyp = 3
/
ATOMIC_SPECIES
Sc 44.96 Sc.upf
Tc 98.00 Tc.upf
Cl 35.45 Cl.upf
CELL_PARAMETERS angstrom
6.738 0.000 0.000
0.000 6.738 0.000
0.000 0.000 7.471
ATOMIC_POSITIONS angstrom
Sc 1.643 1.685 0.934
Sc 1.685 5.012 2.802
Sc 1.685 5.095 6.537
Sc 1.726 1.685 4.669
Sc 5.012 5.054 4.669
Sc 5.054 1.643 6.537
Sc 5.054 1.726 2.802
Sc 5.095 5.054 0.934
Tc 0.000 0.000 0.000
Tc 0.000 3.369 1.868
Tc 3.369 0.000 5.603
Tc 3.369 3.369 3.736
Cl 0.000 0.000 3.736
Cl 0.000 3.369 5.603
Cl 3.369 0.000 1.868
Cl 3.369 3.369 0.000

Model 2:
! PBE-GGA Sc2TcCl, relaxed; values from VASP
! * total magnetization: 0.00 μB/f.u.
! * SG: F-43m
&SYSTEM
  ibrav = 0, nat = 16, ntyp = 3
/
ATOMIC_SPECIES
Sc 44.96 Sc.upf
Tc 98.00 Tc.upf
Cl 35.45 Cl.upf
CELL_PARAMETERS angstrom
6.619 0.000 0.000
0.000 6.619 0.000
0.000 0.000 6.619
ATOMIC_POSITIONS angstrom
Sc 0.000 0.000 0.000
Sc 0.000 3.310 3.310
Sc 1.655 1.655 1.655
Sc 1.655 4.964 4.964
Sc 3.310 0.000 3.310
Sc 3.310 3.310 0.000
Sc 4.964 1.655 4.964
Sc 4.964 4.964 1.655
Tc 1.655 1.655 4.964
Tc 1.655 4.964 1.655
Tc 4.964 1.655 1.655
Tc 4.964 4.964 4.964
Cl 0.000 0.000 3.310
Cl 0.000 3.310 0.000
Cl 3.310 0.000 0.000
Cl 3.310 3.310 3.310

Which structure is most stable? model 1, by 418 meV/atom over the runner-up.

Model 1:
! PBE-GGA Sc2TcCl, relaxed; values from VASP
! * total magnetization: 0.00 μB/f.u.
! * SG: Fm-3m
&SYSTEM
  ibrav = 0, nat = 16, ntyp = 3
/
ATOMIC_SPECIES
Sc 44.96 Sc.upf
Tc 98.00 Tc.upf
Cl 35.45 Cl.upf
CELL_PARAMETERS angstrom
6.635 0.000 0.000
0.000 6.635 0.000
0.000 0.000 6.635
ATOMIC_POSITIONS angstrom
Sc 1.659 1.659 1.659
Sc 1.659 1.659 4.976
Sc 1.659 4.976 1.659
Sc 1.659 4.976 4.976
Sc 4.976 1.659 1.659
Sc 4.976 1.659 4.976
Sc 4.976 4.976 1.659
Sc 4.976 4.976 4.976
Tc 0.000 0.000 0.000
Tc 0.000 3.317 3.317
Tc 3.317 0.000 3.317
Tc 3.317 3.317 0.000
Cl 0.000 0.000 3.317
Cl 0.000 3.317 0.000
Cl 3.317 0.000 0.000
Cl 3.317 3.317 3.317

Model 2:
! PBE-GGA Sc2TcCl, relaxed; values from VASP
! * total magnetization: 0.00 μB/f.u.
! * SG: R-3m
&SYSTEM
  ibrav = 0, nat = 12, ntyp = 3
/
ATOMIC_SPECIES
Sc 44.96 Sc.upf
Tc 98.00 Tc.upf
Cl 35.45 Cl.upf
CELL_PARAMETERS angstrom
3.321 0.000 0.000
-1.660 2.876 0.000
0.000 0.000 23.758
ATOMIC_POSITIONS angstrom
Sc 0.000 0.000 5.844
Sc 0.000 0.000 17.915
Sc 0.000 1.917 9.995
Sc 0.000 1.917 21.682
Sc 1.660 0.959 2.076
Sc 1.660 0.959 13.763
Tc 0.000 0.000 11.879
Tc 0.000 1.917 3.960
Tc 1.660 0.959 19.799
Cl 0.000 0.000 0.000
Cl 0.000 1.917 15.839
Cl 1.660 0.959 7.919

Which structure is most stable? model 2, by 609 meV/atom over the runner-up.